(1)
VASP calculation (PBE-GGA) on a relaxed Al2TlHg crystal.

Output
Magnetic moment: 0.0 Bohr magnetons per cell
Formation energy: 224.2 meV per atom

a = 3.135 Å, b = 4.749 Å, c = 12.714 Å
α = 90.00°, β = 90.00°, γ = 90.00°
Fractional positions:
1 Al 0.000 0.000 0.000
2 Al 0.000 0.500 0.319
3 Al 0.500 0.000 0.819
4 Al 0.500 0.500 0.500
5 Tl 0.000 0.000 0.601
6 Tl 0.500 0.500 0.101
7 Hg 0.000 0.500 0.816
8 Hg 0.500 0.000 0.316

(2)
VASP calculation (PBE-GGA) on a relaxed Sm3Dy2Th crystal.

Output
Magnetic moment: 0.0 Bohr magnetons per cell
Energy above the most stable polymorph in this dataset: 0 meV per atom
Formation energy: 36.8 meV per atom

a = 6.259 Å, b = 6.259 Å, c = 11.628 Å
α = 90.00°, β = 90.00°, γ = 60.05°
Fractional positions:
1 Sm 0.000 0.000 0.000
2 Sm 0.000 0.000 0.500
3 Sm 0.337 0.337 0.000
4 Sm 0.337 0.337 0.500
5 Sm 0.663 0.663 0.000
6 Sm 0.663 0.663 0.500
7 Dy 0.002 0.666 0.750
8 Dy 0.334 0.998 0.750
9 Dy 0.666 0.002 0.250
10 Dy 0.998 0.334 0.250
11 Th 0.333 0.667 0.250
12 Th 0.667 0.333 0.750

(3)
VASP calculation (PBE-GGA) on a relaxed TaCr2Cd crystal.

Output
Magnetic moment: 4.1 Bohr magnetons per cell
Formation energy: 444.6 meV per atom

a = 4.418 Å, b = 4.418 Å, c = 3.268 Å
α = 90.00°, β = 90.00°, γ = 90.00°
Fractional positions:
1 Ta 0.000 0.000 0.000
2 Cr 0.000 0.500 0.500
3 Cr 0.500 0.000 0.500
4 Cd 0.500 0.500 0.000

(4)
VASP calculation (PBE-GGA) on a relaxed Pm12Y3Al crystal.

Output
Magnetic moment: 0.0 Bohr magnetons per cell
Formation energy: -17.5 meV per atom

a = 5.046 Å, b = 5.046 Å, c = 20.494 Å
α = 90.00°, β = 90.00°, γ = 90.00°
Fractional positions:
1 Pm 0.000 0.000 0.000
2 Pm 0.000 0.000 0.244
3 Pm 0.000 0.000 0.500
4 Pm 0.000 0.000 0.756
5 Pm 0.000 0.500 0.117
6 Pm 0.000 0.500 0.372
7 Pm 0.000 0.500 0.628
8 Pm 0.000 0.500 0.883
9 Pm 0.500 0.000 0.117
10 Pm 0.500 0.000 0.372
11 Pm 0.500 0.000 0.628
12 Pm 0.500 0.000 0.883
13 Y 0.500 0.500 0.246
14 Y 0.500 0.500 0.500
15 Y 0.500 0.500 0.754
16 Al 0.500 0.500 0.000

(5)
VASP calculation (PBE-GGA) on a relaxed AcSmGa2Pd2 crystal.

Output
Magnetic moment: 0.0 Bohr magnetons per cell
Formation energy: -806.5 meV per atom

a = 4.583 Å, b = 4.583 Å, c = 7.538 Å
α = 90.00°, β = 90.00°, γ = 120.00°
Fractional positions:
1 Ac 0.000 0.000 0.000
2 Sm 0.000 0.000 0.500
3 Ga 0.333 0.667 0.285
4 Ga 0.667 0.333 0.715
5 Pd 0.333 0.667 0.721
6 Pd 0.667 0.333 0.279

(6)
VASP calculation (PBE-GGA) on a relaxed KMgFe3 crystal.

Output
Magnetic moment: 7.6 Bohr magnetons per cell
Energy above the most stable polymorph in this dataset: 696 meV per atom
Formation energy: 2201.8 meV per atom

a = 4.594 Å, b = 4.594 Å, c = 4.594 Å
α = 90.00°, β = 90.00°, γ = 90.00°
Fractional positions:
1 K 0.000 0.000 0.000
2 Mg 0.500 0.500 0.500
3 Fe 0.000 0.000 0.500
4 Fe 0.000 0.500 0.000
5 Fe 0.500 0.000 0.000

(7)
VASP calculation (PBE-GGA) on a relaxed CoReIr crystal.

Output
Magnetic moment: 1.8 Bohr magnetons per cell
Energy above the most stable polymorph in this dataset: 62 meV per atom
Formation energy: -26.7 meV per atom

a = 8.537 Å, b = 3.750 Å, c = 5.316 Å
α = 90.00°, β = 108.74°, γ = 90.00°
Fractional positions:
1 Co 0.177 0.000 0.086
2 Co 0.323 0.500 0.914
3 Co 0.677 0.500 0.086
4 Co 0.823 0.000 0.914
5 Re 0.170 0.000 0.601
6 Re 0.330 0.500 0.399
7 Re 0.670 0.500 0.601
8 Re 0.830 0.000 0.399
9 Ir 0.002 0.500 0.247
10 Ir 0.498 0.000 0.753
11 Ir 0.502 0.000 0.247
12 Ir 0.998 0.500 0.753

(8)
VASP calculation (PBE-GGA) on a relaxed CaMnCuSi crystal.

Output
Magnetic moment: 3.5 Bohr magnetons per cell
Energy above the most stable polymorph in this dataset: 151 meV per atom
Uncorrected formation energy: -0.01 eV/f.u.

a = 3.546 Å, b = 4.015 Å, c = 5.653 Å
α = 90.00°, β = 108.37°, γ = 90.00°
Fractional positions:
1 Ca 0.000 0.000 0.000
2 Mn 0.713 0.500 0.428
3 Cu 0.263 0.000 0.529
4 Si 0.375 0.500 0.751

(9)
VASP calculation (PBE-GGA) on a relaxed Ac2Al2Si3 crystal.

Output
Magnetic moment: 0.0 Bohr magnetons per cell
Uncorrected formation energy: -2.63 eV/f.u.

a = 9.995 Å, b = 9.995 Å, c = 7.267 Å
α = 90.00°, β = 90.00°, γ = 153.40°
Fractional positions:
1 Ac 0.049 0.951 0.750
2 Ac 0.164 0.836 0.250
3 Ac 0.836 0.164 0.750
4 Ac 0.951 0.049 0.250
5 Al 0.326 0.674 0.072
6 Al 0.326 0.674 0.428
7 Al 0.674 0.326 0.572
8 Al 0.674 0.326 0.928
9 Si 0.212 0.788 0.750
10 Si 0.443 0.557 0.581
11 Si 0.443 0.557 0.919
12 Si 0.557 0.443 0.081
13 Si 0.557 0.443 0.419
14 Si 0.788 0.212 0.250

(10)
VASP calculation (PBE-GGA) on a relaxed Pm2SmHo4Er crystal.

Output
Magnetic moment: 0.0 Bohr magnetons per cell
Formation energy: 16.5 meV per atom

a = 7.134 Å, b = 7.134 Å, c = 12.326 Å
α = 106.83°, β = 106.83°, γ = 60.01°
Fractional positions:
1 Pm 0.000 0.000 0.000
2 Pm 0.000 0.000 0.500
3 Pm 0.000 0.500 0.000
4 Pm 0.500 0.000 0.000
5 Sm 0.500 0.500 0.000
6 Sm 0.500 0.500 0.500
7 Ho 0.249 0.749 0.748
8 Ho 0.250 0.250 0.252
9 Ho 0.250 0.250 0.748
10 Ho 0.251 0.751 0.252
11 Ho 0.749 0.249 0.748
12 Ho 0.750 0.750 0.252
13 Ho 0.750 0.750 0.748
14 Ho 0.751 0.251 0.252
15 Er 0.000 0.500 0.500
16 Er 0.500 0.000 0.500

(11)
VASP calculation (PBE-GGA) on a relaxed CuSbTeSe crystal.

Output
Magnetic moment: 0.0 Bohr magnetons per cell
Uncorrected formation energy: -0.10 eV/f.u.

a = 8.152 Å, b = 4.677 Å, c = 6.824 Å
α = 90.00°, β = 113.56°, γ = 90.00°
Fractional positions:
1 Cu 0.000 0.000 0.000
2 Cu 0.500 0.500 0.000
3 Sb 0.008 0.500 0.524
4 Sb 0.508 0.000 0.524
5 Te 0.358 0.000 0.076
6 Te 0.858 0.500 0.076
7 Se 0.367 0.500 0.604
8 Se 0.867 0.000 0.604

(12)
VASP calculation (PBE-GGA) on a relaxed ErMg3Tl4 crystal.

Output
Magnetic moment: 0.0 Bohr magnetons per cell
Formation energy: -125.8 meV per atom

a = 10.118 Å, b = 7.819 Å, c = 5.059 Å
α = 90.00°, β = 90.00°, γ = 90.00°
Fractional positions:
1 Er 0.000 0.000 0.000
2 Er 0.500 0.000 0.000
3 Mg 0.000 0.500 0.000
4 Mg 0.250 0.000 0.499
5 Mg 0.250 0.500 0.499
6 Mg 0.500 0.500 0.000
7 Mg 0.750 0.000 0.501
8 Mg 0.750 0.500 0.501
9 Tl 0.000 0.258 0.500
10 Tl 0.000 0.742 0.500
11 Tl 0.250 0.258 0.999
12 Tl 0.250 0.742 0.999
13 Tl 0.500 0.258 0.500
14 Tl 0.500 0.742 0.500
15 Tl 0.750 0.258 0.001
16 Tl 0.750 0.742 0.001

(13)
VASP calculation (PBE-GGA) on a relaxed SnOsC3 crystal.

Output
Magnetic moment: 0.0 Bohr magnetons per cell
Energy above the most stable polymorph in this dataset: 1782 meV per atom
Formation energy: 3596.0 meV per atom

a = 4.157 Å, b = 4.157 Å, c = 4.157 Å
α = 90.00°, β = 90.00°, γ = 90.00°
Fractional positions:
1 Sn 0.000 0.000 0.000
2 Os 0.500 0.500 0.500
3 C 0.000 0.000 0.500
4 C 0.000 0.500 0.000
5 C 0.500 0.000 0.000

(14)
VASP calculation (PBE-GGA) on a relaxed NpRe3 crystal.

Output
Magnetic moment: 1.8 Bohr magnetons per cell
Formation energy: 292.1 meV per atom

a = 4.638 Å, b = 4.638 Å, c = 3.088 Å
α = 90.00°, β = 90.00°, γ = 90.00°
Fractional positions:
1 Np 0.000 0.000 0.000
2 Re 0.000 0.500 0.500
3 Re 0.500 0.000 0.500
4 Re 0.500 0.500 0.000

(15)
VASP calculation (PBE-GGA) on a relaxed CsHf2ZrV crystal.

Output
Magnetic moment: 1.4 Bohr magnetons per cell
Formation energy: 2162.1 meV per atom

a = 5.237 Å, b = 5.237 Å, c = 4.768 Å
α = 90.00°, β = 90.00°, γ = 90.00°
Fractional positions:
1 Cs 0.000 0.000 0.000
2 Hf 0.000 0.500 0.000
3 Hf 0.500 0.000 0.000
4 Zr 0.500 0.500 0.500
5 V 0.000 0.000 0.500

(16)
VASP calculation (PBE-GGA) on a relaxed SrLaW crystal.

Output
Magnetic moment: 0.0 Bohr magnetons per cell
Energy above the most stable polymorph in this dataset: 135 meV per atom
Formation energy: 1035.4 meV per atom

a = 5.561 Å, b = 5.561 Å, c = 2.929 Å
α = 90.00°, β = 90.00°, γ = 120.00°
Fractional positions:
1 Sr 0.000 0.000 0.000
2 La 0.333 0.667 0.000
3 W 0.667 0.333 0.500

(17)
VASP calculation (PBE-GGA) on a relaxed KRuRh crystal.

Output
Magnetic moment: 0.0 Bohr magnetons per cell
Energy above the most stable polymorph in this dataset: 466 meV per atom
Formation energy: 949.9 meV per atom

a = 4.620 Å, b = 4.620 Å, c = 7.707 Å
α = 90.00°, β = 90.00°, γ = 120.00°
Fractional positions:
1 K 0.000 0.000 0.000
2 K 0.000 0.000 0.500
3 Ru 0.667 0.333 0.150
4 Ru 0.667 0.333 0.850
5 Rh 0.333 0.667 0.166
6 Rh 0.333 0.667 0.834

(18)
VASP calculation (PBE-GGA) on a relaxed MgCrC3 crystal.

Output
Magnetic moment: 0.3 Bohr magnetons per cell
Energy above the most stable polymorph in this dataset: 1850 meV per atom
Formation energy: 3206.2 meV per atom

a = 3.947 Å, b = 3.947 Å, c = 3.947 Å
α = 90.00°, β = 90.00°, γ = 90.00°
Fractional positions:
1 Mg 0.000 0.000 0.000
2 Cr 0.500 0.500 0.500
3 C 0.000 0.000 0.500
4 C 0.000 0.500 0.000
5 C 0.500 0.000 0.000

(19)
VASP calculation (PBE-GGA) on a relaxed ZrMn2V crystal.

Output
Magnetic moment: 0.0 Bohr magnetons per cell
Energy above the most stable polymorph in this dataset: 773 meV per atom
Formation energy: 699.6 meV per atom

a = 4.285 Å, b = 4.285 Å, c = 15.283 Å
α = 90.00°, β = 90.00°, γ = 90.00°
Fractional positions:
1 Zr 0.000 0.250 0.375
2 Zr 0.000 0.750 0.625
3 Zr 0.500 0.250 0.125
4 Zr 0.500 0.750 0.875
5 Mn 0.000 0.000 0.000
6 Mn 0.000 0.500 0.000
7 Mn 0.250 0.250 0.750
8 Mn 0.250 0.750 0.250
9 Mn 0.500 0.000 0.500
10 Mn 0.500 0.500 0.500
11 Mn 0.750 0.250 0.750
12 Mn 0.750 0.750 0.250
13 V 0.000 0.250 0.875
14 V 0.000 0.750 0.125
15 V 0.500 0.250 0.625
16 V 0.500 0.750 0.375

(20)
VASP calculation (PBE-GGA) on a relaxed Bi3BMo crystal.

Output
Magnetic moment: 3.3 Bohr magnetons per cell
Energy above the most stable polymorph in this dataset: 0 meV per atom
Formation energy: 1266.6 meV per atom

a = 5.001 Å, b = 5.001 Å, c = 5.001 Å
α = 90.00°, β = 90.00°, γ = 90.00°
Fractional positions:
1 Bi 0.000 0.000 0.500
2 Bi 0.000 0.500 0.000
3 Bi 0.500 0.000 0.000
4 B 0.000 0.000 0.000
5 Mo 0.500 0.500 0.500

(21)
VASP calculation (PBE-GGA) on a relaxed Hf6OsS crystal.

Output
Magnetic moment: 0.0 Bohr magnetons per cell
Uncorrected formation energy: -1.81 eV/f.u.

a = 6.230 Å, b = 9.344 Å, c = 6.188 Å
α = 90.00°, β = 104.67°, γ = 90.00°
Fractional positions:
1 Hf 0.174 0.181 0.278
2 Hf 0.174 0.819 0.278
3 Hf 0.217 0.500 0.210
4 Hf 0.283 0.000 0.790
5 Hf 0.326 0.319 0.722
6 Hf 0.326 0.681 0.722
7 Hf 0.674 0.319 0.278
8 Hf 0.674 0.681 0.278
9 Hf 0.717 0.000 0.210
10 Hf 0.783 0.500 0.790
11 Hf 0.826 0.181 0.722
12 Hf 0.826 0.819 0.722
13 Os 0.000 0.500 0.500
14 Os 0.500 0.000 0.500
15 S 0.000 0.000 0.000
16 S 0.500 0.500 0.000

(22)
VASP calculation (PBE-GGA) on a relaxed Na3Ge5Rh6 crystal.

Output
Magnetic moment: 0.0 Bohr magnetons per cell
Formation energy: -419.1 meV per atom

a = 4.003 Å, b = 12.679 Å, c = 9.806 Å
α = 90.00°, β = 90.00°, γ = 90.00°
Fractional positions:
1 Na 0.250 0.095 0.242
2 Na 0.250 0.405 0.242
3 Na 0.250 0.750 0.256
4 Na 0.750 0.250 0.744
5 Na 0.750 0.595 0.758
6 Na 0.750 0.905 0.758
7 Ge 0.250 0.076 0.849
8 Ge 0.250 0.424 0.849
9 Ge 0.250 0.629 0.515
10 Ge 0.250 0.750 0.887
11 Ge 0.250 0.871 0.515
12 Ge 0.750 0.129 0.485
13 Ge 0.750 0.250 0.113
14 Ge 0.750 0.371 0.485
15 Ge 0.750 0.576 0.151
16 Ge 0.750 0.924 0.151
17 Rh 0.250 0.053 0.598
18 Rh 0.250 0.250 0.481
19 Rh 0.250 0.250 0.973
20 Rh 0.250 0.447 0.598
21 Rh 0.250 0.581 0.007
22 Rh 0.250 0.919 0.007
23 Rh 0.750 0.081 0.993
24 Rh 0.750 0.419 0.993
25 Rh 0.750 0.553 0.402
26 Rh 0.750 0.750 0.027
27 Rh 0.750 0.750 0.519
28 Rh 0.750 0.947 0.402

(23)
VASP calculation (PBE-GGA) on a relaxed TbTaNi2 crystal.

Output
Magnetic moment: 0.0 Bohr magnetons per cell
Formation energy: -228.2 meV per atom

a = 3.183 Å, b = 3.183 Å, c = 6.742 Å
α = 90.00°, β = 90.00°, γ = 90.00°
Fractional positions:
1 Tb 0.000 0.000 0.000
2 Ta 0.000 0.000 0.500
3 Ni 0.500 0.500 0.306
4 Ni 0.500 0.500 0.694

(24)
VASP calculation (PBE-GGA) on a relaxed LaRhN2O crystal.

Output
Magnetic moment: 0.0 Bohr magnetons per cell
Uncorrected formation energy: -2.84 eV/f.u.

a = 3.898 Å, b = 3.898 Å, c = 4.212 Å
α = 90.00°, β = 90.00°, γ = 90.00°
Fractional positions:
1 La 0.000 0.000 0.000
2 Rh 0.500 0.500 0.500
3 N 0.000 0.500 0.500
4 N 0.500 0.000 0.500
5 O 0.500 0.500 0.000

(25)
VASP calculation (PBE-GGA) on a relaxed Sm2IrRu3 crystal.

Output
Magnetic moment: 0.0 Bohr magnetons per cell
Formation energy: -351.1 meV per atom

a = 9.226 Å, b = 5.324 Å, c = 5.462 Å
α = 90.00°, β = 124.11°, γ = 90.00°
Fractional positions:
1 Sm 0.124 0.000 0.370
2 Sm 0.376 0.500 0.630
3 Sm 0.624 0.500 0.370
4 Sm 0.876 0.000 0.630
5 Ir 0.000 0.500 0.500
6 Ir 0.500 0.000 0.500
7 Ru 0.000 0.500 0.000
8 Ru 0.250 0.250 0.000
9 Ru 0.250 0.750 0.000
10 Ru 0.500 0.000 0.000
11 Ru 0.750 0.250 0.000
12 Ru 0.750 0.750 0.000